[1]
First-principles (PBE-GGA) data for an optimized crystal structure of Sm3Dy5Ho2, as listed in Alexandria.

extended XYZ file:
```
20
Lattice="-6.063 8.518 3.186 6.063 -8.518 3.186 6.063 8.518 -3.186" Properties=species:S:1:pos:R:3 pbc="T T T"
Sm 7.129 2.848 0.000
Sm 0.000 0.000 1.593
Sm 1.065 5.670 0.000
Sm 4.998 2.848 3.186
Sm 0.000 0.000 4.779
Sm -1.065 5.670 3.186
Dy 2.914 2.885 0.000
Dy 3.049 0.000 1.593
Dy 6.063 0.000 1.593
Dy 9.078 0.000 1.593
Dy 2.914 -2.885 3.186
Dy 3.150 11.403 0.000
Dy -3.015 8.518 1.593
Dy 0.000 8.518 1.593
Dy 3.015 8.518 1.593
Dy 3.150 5.633 3.186
Ho 4.938 -5.656 3.186
Ho 4.938 5.656 0.000
Ho 1.126 2.862 3.186
Ho 1.126 14.175 0.000
```

Output
The calculation puts the distance to the lowest polymorph of the same formula at 0.103 eV per atom. The value obtained for the calculated volume is 658.21 Å³/cell. As for the space group: No. 72. The value obtained for the formation energy is 0.30 eV per atom. The raw total energy is -4.3320 eV per atom. As for the total magnetization: 0.000 μB per atom.


[2]
First-principles (PBE-GGA) data for an optimized crystal structure of Sm2Dy9Ho3, as listed in Alexandria.

extended XYZ file:
```
14
Lattice="6.146 0.000 0.000 2.047 6.800 0.000 0.009 3.702 10.587" Properties=species:S:1:pos:R:3 pbc="T T T"
Sm 0.000 0.000 0.000
Sm 2.052 3.085 6.041
Dy 1.025 1.543 3.019
Dy 2.048 4.943 3.018
Dy 3.076 6.486 6.043
Dy 4.107 8.024 9.072
Dy 4.093 2.473 1.505
Dy 5.121 5.870 1.510
Dy 5.123 4.016 4.529
Dy 6.145 5.563 7.557
Dy 7.175 8.954 7.555
Ho 7.178 7.101 10.585
Ho 3.078 4.633 9.073
Ho 6.151 7.412 4.533
```

Output
The value obtained for the calculated volume is 442.47 Å³/cell. As for the space group: No. 1. The value obtained for the formation energy is 0.02 eV per atom. The raw total energy is -4.5964 eV per atom. As for the total magnetization: 0.000 μB per atom.


[3]
First-principles (PBE-GGA) data for an optimized crystal structure of Sm6Dy5Ho2, as listed in Alexandria.

extended XYZ file:
```
26
Lattice="11.667 0.000 0.000 0.000 20.433 0.000 0.000 0.000 3.601" Properties=species:S:1:pos:R:3 pbc="T T T"
Sm 0.698 1.641 0.000
Sm 0.960 7.507 0.000
Sm 2.024 12.979 1.801
Sm 3.810 2.763 1.801
Sm 4.874 17.724 0.000
Sm 5.136 11.857 0.000
Sm 6.531 8.576 0.000
Sm 6.793 2.710 0.000
Sm 7.857 17.671 1.801
Sm 9.643 7.454 1.801
Sm 10.707 12.926 0.000
Sm 10.970 18.793 0.000
Dy 0.000 10.217 1.801
Dy 1.061 4.623 1.801
Dy 2.316 19.329 1.801
Dy 3.518 9.113 1.801
Dy 4.773 14.840 1.801
Dy 5.834 0.000 1.801
Dy 6.894 5.593 1.801
Dy 8.149 11.321 1.801
Dy 9.352 1.104 1.801
Dy 10.606 15.810 1.801
Ho 1.951 16.133 0.000
Ho 3.883 5.916 0.000
Ho 7.784 14.517 0.000
Ho 9.716 4.300 0.000
```

Output
The value obtained for the calculated volume is 858.58 Å³/cell. As for the space group: No. 55. The value obtained for the formation energy is 0.10 eV per atom. The raw total energy is -4.5526 eV per atom. As for the total magnetization: 0.000 μB per atom.


[4]
First-principles (PBE-GGA) data for an optimized crystal structure of SmDy5Ho3, as listed in Alexandria.

extended XYZ file:
```
18
Lattice="8.402 -4.804 0.000 8.402 4.804 0.000 -0.144 0.000 6.984" Properties=species:S:1:pos:R:3 pbc="T T T"
Sm 8.294 2.935 5.238
Sm 8.366 -2.935 1.746
Dy 5.280 1.722 5.227
Dy 8.366 3.448 1.746
Dy 5.789 1.474 1.739
Dy 5.352 -1.722 1.735
Dy 5.717 -1.474 5.231
Dy 10.944 1.474 1.752
Dy 11.308 1.722 5.248
Dy 10.871 -1.474 5.244
Dy 8.294 -3.448 5.238
Dy 11.380 -1.722 1.756
Ho 2.685 0.011 6.982
Ho 2.758 -0.011 3.490
Ho 8.402 0.000 0.000
Ho 8.330 0.000 3.492
Ho 13.903 0.011 3.494
Ho 13.975 -0.011 0.002
```

Output
The calculation puts the distance to the lowest polymorph of the same formula at 0.000 eV per atom. The value obtained for the calculated volume is 563.82 Å³/cell. As for the space group: No. 15. The value obtained for the formation energy is 0.06 eV per atom. The raw total energy is -4.5479 eV per atom. As for the total magnetization: 0.000 μB per atom.


[5]
First-principles (PBE-GGA) data for an optimized crystal structure of Sm4Dy4Ho5, as listed in Alexandria.

extended XYZ file:
```
13
Lattice="-6.423 6.423 2.512 6.423 -6.423 2.512 6.423 6.423 -2.512" Properties=species:S:1:pos:R:3 pbc="T T T"
Sm 4.923 1.002 0.000
Sm 5.422 -1.500 2.512
Sm 1.002 7.923 0.000
Sm 1.500 5.422 2.512
Dy 9.895 1.969 0.000
Dy 1.969 2.951 0.000
Dy 4.454 3.472 2.512
Dy -3.472 4.454 2.512
Ho 0.000 0.000 0.000
Ho 6.923 3.978 0.000
Ho 3.978 5.923 0.000
Ho 2.445 0.500 2.512
Ho -0.500 2.445 2.512
```

Output
The value obtained for the calculated volume is 414.62 Å³/cell. As for the space group: No. 87. The value obtained for the formation energy is 0.02 eV per atom. The raw total energy is -4.6117 eV per atom. As for the total magnetization: 0.000 μB per atom.


[6]
First-principles (PBE-GGA) data for an optimized crystal structure of SmDy2Ho2, as listed in Alexandria.

extended XYZ file:
```
5
Lattice="3.509 0.000 0.000 0.000 2.850 8.144 0.000 -2.850 8.144" Properties=species:S:1:pos:R:3 pbc="T T T"
Sm 0.000 0.000 0.000
Dy 0.000 0.000 6.218
Dy 1.755 0.000 9.336
Ho 0.000 0.000 12.428
Ho 1.755 0.000 3.132
```

Output
The calculation puts the distance to the lowest polymorph of the same formula at 0.034 eV per atom. The value obtained for the calculated volume is 162.90 Å³/cell. As for the space group: No. 38. The value obtained for the formation energy is 0.12 eV per atom. The raw total energy is -4.4944 eV per atom. As for the total magnetization: 0.000 μB per atom.